Entry 1:
Here is a relaxed K2TiCl6 crystal from the Alexandria database. Energies are from PBE.

Cell lengths 7.0895, 7.0895, 7.0895 Å; angles 60.00, 60.00, 60.00 degrees
Element x y z (fractional)
K  0.2500  0.2500  0.2500
K  0.7500  0.7500  0.7500
Ti  0.0000  0.0000  0.0000
Cl  0.2353  0.2353  0.7647
Cl  0.2353  0.7647  0.2353
Cl  0.2353  0.7647  0.7647
Cl  0.7647  0.2353  0.2353
Cl  0.7647  0.2353  0.7647
Cl  0.7647  0.7647  0.2353

ΔE_f (raw) = -171.6 kJ per mole of atoms

=====

Entry 2:
Here is a relaxed BaMgNi2 crystal from the Alexandria database. Energies are from PBE.

Cell lengths 4.9225, 4.9225, 4.9225 Å; angles 60.00, 60.00, 60.00 degrees
Element x y z (fractional)
Ba  0.0000  0.0000  0.0000
Mg  0.7500  0.7500  0.7500
Ni  0.2500  0.2500  0.2500
Ni  0.5000  0.5000  0.5000

Energy of formation from the pure elements = 545 meV/atom

=====

Entry 3:
Here is a relaxed Rb2CeGaSe5 crystal from the Alexandria database. Energies are from PBE.

Cell lengths 10.6416, 10.6416, 15.0107 Å; angles 90.00, 90.00, 158.23 degrees
Element x y z (fractional)
Rb  0.1283  0.8717  0.5000
Rb  0.1321  0.8679  0.8670
Rb  0.8679  0.1321  0.3670
Rb  0.8717  0.1283  0.0000
Ce  0.1991  0.8009  0.1994
Ce  0.8009  0.1991  0.6994
Ga  0.4320  0.5680  0.5986
Ga  0.5680  0.4320  0.0986
Se  0.0537  0.9463  0.1959
Se  0.3060  0.6940  0.8284
Se  0.3155  0.6845  0.5599
Se  0.3322  0.6678  0.1834
Se  0.4911  0.5089  0.4637
Se  0.5089  0.4911  0.9637
Se  0.6678  0.3322  0.6834
Se  0.6845  0.3155  0.0599
Se  0.6940  0.3060  0.3284
Se  0.9463  0.0537  0.6959

ΔE_f (raw) = -104.4 kJ per mole of atoms

=====

| no. | D(E_F) (states/eV per cell) |
| --- | --- |
| 1 | 0.00 |
| 2 | 2.80 |
| 3 | 9.30 |